Entry 1:
DFT (PBE-GGA) results for La2AgSnN after structural relaxation.

The structure in CIF format:
```
data_La2AgSnN
_cell_length_a 5.101
_cell_length_b 5.101
_cell_length_c 4.605
_cell_angle_alpha 90.00
_cell_angle_beta 90.00
_cell_angle_gamma 90.00
_space_group_name_H-M_alt 'P 4/m m m'
_space_group_IT_number 123
_space_group_name_Hall '-P 4 2'
loop_
_atom_site_label
_atom_site_type_symbol
_atom_site_fract_x
_atom_site_fract_y
_atom_site_fract_z
La1 La 0.000 0.500 0.000
Ag1 Ag 0.000 0.000 0.500
Sn1 Sn 0.500 0.500 0.500
N1 N 0.000 0.000 0.000
```

Output
Its uncorrected formation energy is -0.701 eV per atom.

Entry 2:
DFT (PBE-GGA) results for TlH4Os after structural relaxation.

The structure in CIF format:
```
data_TlH4Os
_cell_length_a 13.111
_cell_length_b 5.315
_cell_length_c 4.728
_cell_angle_alpha 90.00
_cell_angle_beta 104.22
_cell_angle_gamma 90.00
_space_group_name_H-M_alt 'C 1 2/m 1'
_space_group_IT_number 12
loop_
_space_group_symop_operation_xyz
'x,y,z'
'-x,-y,-z'
'-x,y,-z'
'x,-y,z'
'x+1/2,y+1/2,z'
'-x+1/2,-y+1/2,-z'
'-x+1/2,y+1/2,-z'
'x+1/2,-y+1/2,z'
loop_
_atom_site_label
_atom_site_type_symbol
_atom_site_fract_x
_atom_site_fract_y
_atom_site_fract_z
Tl1 Tl 0.174 0.000 0.142
H1 H 0.000 0.261 0.000
H2 H 0.093 0.299 0.553
H3 H 0.163 0.500 0.265
Os1 Os 0.040 0.500 0.284
```

Output
The calculation puts the total energy at -25.64 eV/f.u.

Entry 3:
DFT (PBE-GGA) results for Ag6SbAu10 after structural relaxation.

The structure in CIF format:
```
data_Ag6SbAu10
_cell_length_a 8.1397
_cell_length_b 8.1397
_cell_length_c 5.6080
_cell_angle_alpha 90.00
_cell_angle_beta 90.00
_cell_angle_gamma 120.00
_space_group_name_H-M_alt 'P -3 1 m'
_space_group_IT_number 162
_space_group_name_Hall '-P 3 2'
loop_
_atom_site_label
_atom_site_type_symbol
_atom_site_fract_x
_atom_site_fract_y
_atom_site_fract_z
Ag1 Ag 0.0000 0.3651 0.3168
Sb1 Sb 0.0000 0.0000 0.5000
Au1 Au 0.0000 0.2890 0.8299
Au2 Au 0.3333 0.6667 0.0000
Au3 Au 0.3333 0.6667 0.5000
```

Output
Its uncorrected formation energy is 0.029 eV per atom.

Entry 4:
DFT (PBE-GGA) results for SrZn3In after structural relaxation.

The structure in CIF format:
```
data_SrZn3In
_cell_length_a 5.204
_cell_length_b 5.204
_cell_length_c 5.204
_cell_angle_alpha 90.00
_cell_angle_beta 90.00
_cell_angle_gamma 90.00
_space_group_name_H-M_alt 'P m -3 m'
_space_group_IT_number 221
_space_group_name_Hall '-P 4 2 3'
loop_
_atom_site_label
_atom_site_type_symbol
_atom_site_fract_x
_atom_site_fract_y
_atom_site_fract_z
Sr1 Sr 0.000 0.000 0.000
Zn1 Zn 0.000 0.500 0.500
In1 In 0.500 0.500 0.500
```

Output
Its offset from the most stable computed form is 38.3 kJ per mole of atoms. The value obtained for the formation energy is 0.162 eV per atom.

Entry 5:
DFT (PBE-GGA) results for RbY2Mg after structural relaxation.

The structure in CIF format:
```
data_RbY2Mg
_cell_length_a 4.844
_cell_length_b 4.844
_cell_length_c 25.751
_cell_angle_alpha 90.00
_cell_angle_beta 90.00
_cell_angle_gamma 90.00
_space_group_name_H-M_alt 'I -4 2 d'
_space_group_IT_number 122
_space_group_name_Hall 'I -4 2bw'
loop_
_atom_site_label
_atom_site_type_symbol
_atom_site_fract_x
_atom_site_fract_y
_atom_site_fract_z
Rb1 Rb 0.000 0.000 0.000
Y1 Y 0.233 0.250 0.625
Mg1 Mg 0.000 0.000 0.500
```

Output
The value obtained for the formation energy is 0.662 eV per atom.

Entry 6:
DFT (PBE-GGA) results for Na3OsBr after structural relaxation.

The structure in CIF format:
```
data_Na3OsBr
_cell_length_a 5.396
_cell_length_b 5.396
_cell_length_c 5.396
_cell_angle_alpha 90.00
_cell_angle_beta 90.00
_cell_angle_gamma 90.00
_space_group_name_H-M_alt 'P m -3 m'
_space_group_IT_number 221
_space_group_name_Hall '-P 4 2 3'
loop_
_atom_site_label
_atom_site_type_symbol
_atom_site_fract_x
_atom_site_fract_y
_atom_site_fract_z
Na1 Na 0.000 0.000 0.500
Os1 Os 0.500 0.500 0.500
Br1 Br 0.000 0.000 0.000
```

Output
Its offset from the most stable computed form is 0.0 kJ per mole of atoms. Its uncorrected formation energy is 0.697 eV per atom.

Entry 7:
DFT (PBE-GGA) results for ThZn3Rh3 after structural relaxation.

The structure in CIF format:
```
data_ThZn3Rh3
_cell_length_a 6.649
_cell_length_b 6.649
_cell_length_c 6.649
_cell_angle_alpha 90.00
_cell_angle_beta 90.00
_cell_angle_gamma 90.00
_space_group_name_H-M_alt 'P m -3 n'
_space_group_IT_number 223
_space_group_name_Hall '-P 4n 2 3'
loop_
_atom_site_label
_atom_site_type_symbol
_atom_site_fract_x
_atom_site_fract_y
_atom_site_fract_z
Th1 Th 0.000 0.000 0.000
Zn1 Zn 0.000 0.250 0.500
Rh1 Rh 0.000 0.500 0.250
```

Output
The value obtained for the formation energy is 0.199 eV per atom.

Entry 8:
DFT (PBE-GGA) results for AcLa6NdDy2 after structural relaxation.

The structure in CIF format:
```
data_AcLa6NdDy2
_cell_length_a 9.474
_cell_length_b 15.570
_cell_length_c 10.083
_cell_angle_alpha 90.00
_cell_angle_beta 97.87
_cell_angle_gamma 90.00
_space_group_name_H-M_alt 'C 1 2/c 1'
_space_group_IT_number 15
loop_
_space_group_symop_operation_xyz
'x,y,z'
'-x,-y,-z'
'-x,y,-z+1/2'
'x,-y,z+1/2'
'x+1/2,y+1/2,z'
'-x+1/2,-y+1/2,-z'
'-x+1/2,y+1/2,-z+1/2'
'x+1/2,-y+1/2,z+1/2'
loop_
_atom_site_label
_atom_site_type_symbol
_atom_site_fract_x
_atom_site_fract_y
_atom_site_fract_z
Ac1 Ac 0.000 0.026 0.250
La1 La 0.071 0.180 0.949
La2 La 0.098 0.395 0.122
La3 La 0.218 0.228 0.316
Nd1 Nd 0.000 0.408 0.750
Dy1 Dy 0.249 0.051 0.546
```

Output
The value obtained for the formation energy is 0.103 eV per atom.

Entry 9:
DFT (PBE-GGA) results for PmPaGaRu after structural relaxation.

The structure in CIF format:
```
data_PmPaGaRu
_cell_length_a 7.070
_cell_length_b 7.070
_cell_length_c 7.070
_cell_angle_alpha 90.00
_cell_angle_beta 90.00
_cell_angle_gamma 90.00
_space_group_name_H-M_alt 'F -4 3 m'
_space_group_IT_number 216
_space_group_name_Hall 'F -4 2 3'
loop_
_atom_site_label
_atom_site_type_symbol
_atom_site_fract_x
_atom_site_fract_y
_atom_site_fract_z
Pm1 Pm 0.000 0.000 0.000
Pa1 Pa 0.000 0.000 0.500
Ga1 Ga 0.250 0.250 0.750
Ru1 Ru 0.250 0.250 0.250
```

Output
The value obtained for the formation energy is -0.182 eV per atom.

Entry 10:
DFT (PBE-GGA) results for SiPtNF2 after structural relaxation.

The structure in CIF format:
```
data_SiPtNF2
_cell_length_a 4.554
_cell_length_b 4.554
_cell_length_c 3.699
_cell_angle_alpha 90.00
_cell_angle_beta 90.00
_cell_angle_gamma 90.00
_space_group_name_H-M_alt 'P 4/m m m'
_space_group_IT_number 123
_space_group_name_Hall '-P 4 2'
loop_
_atom_site_label
_atom_site_type_symbol
_atom_site_fract_x
_atom_site_fract_y
_atom_site_fract_z
Si1 Si 0.000 0.000 0.000
Pt1 Pt 0.500 0.500 0.500
N1 N 0.500 0.500 0.000
F1 F 0.000 0.500 0.500
```

Output
Its offset from the most stable computed form is 51.8 kJ per mole of atoms. Its uncorrected formation energy is 0.204 eV per atom.

no.,DOS(E_F) (states/eV per atom)
1,0.441
2,0.214
3,0.238
4,0.712
5,1.624
6,0.757
7,0.331
8,1.527
9,1.562
10,0.616